Record 1
This record from the Alexandria database describes LiEr2Cu3Ge4 after structural relaxation. The functional is GGA-PBE.

Cell and atoms, written as extended XYZ:
```
10
Lattice="4.0646 0.0000 0.0000 0.0000 4.0646 0.0000 0.0000 0.0000 10.3783" Properties=species:S:1:pos:R:3 pbc="T T T"
Li 2.0323 2.0323 5.1892
Er 2.0323 0.0000 2.6396
Er 0.0000 2.0323 7.7387
Cu 0.0000 0.0000 5.1892
Cu 2.0323 0.0000 8.9551
Cu 0.0000 2.0323 1.4232
Ge 2.0323 2.0323 0.0000
Ge 0.0000 0.0000 0.0000
Ge 2.0323 0.0000 6.6013
Ge 0.0000 2.0323 3.7770
```

Calculated values
- SG = P-4m2 (115)
- crystal system = tetragonal
- E_tot (eV for the cell shown) = -46.41
- calculated formation energy (meV per atom) = -461

---

Record 2
This record from the Alexandria database describes LiErCu2Ge2 after structural relaxation. The functional is GGA-PBE.

Cell and atoms, written as extended XYZ:
```
6
Lattice="-3.4784 -1.9784 1.1542 1.4771 -0.4686 -3.8658 3.5560 -5.0989 1.9767" Properties=species:S:1:pos:R:3 pbc="T T T"
Li 1.7780 -2.5495 0.9884
Er 0.0000 0.0000 0.0000
Cu 2.2307 -4.4211 -0.8553
Cu -0.6761 -3.1248 0.1204
Ge 0.7980 -2.3667 -1.6517
Ge 0.7566 -5.1792 0.9169
```

Calculated values
- SG = P-3m1 (164)
- crystal system = trigonal
- E_tot (eV for the cell shown) = -26.70
- calculated formation energy (meV per atom) = -466

---

Record 3
This record from the Alexandria database describes ErLuCuGe after structural relaxation. The functional is GGA-PBE.

Cell and atoms, written as extended XYZ:
```
4
Lattice="4.8925 0.0000 0.0000 2.4463 4.2370 0.0000 2.4463 1.4123 3.9947" Properties=species:S:1:pos:R:3 pbc="T T T"
Ge 2.4463 1.4123 0.9987
Lu 4.8925 2.8247 1.9974
Cu 7.3388 4.2370 2.9960
Er 0.0000 0.0000 0.0000
```

Calculated values
- SG = F-43m (216)
- crystal system = cubic
- E_tot (eV for the cell shown) = -19.76
- calculated formation energy (meV per atom) = -490

---

Record 4
This record from the Alexandria database describes ErMg2Cu2Ge2 after structural relaxation. The functional is GGA-PBE.

Cell and atoms, written as extended XYZ:
```
7
Lattice="4.2528 0.0000 0.0000 2.1264 3.6830 0.0000 2.1264 1.2277 8.0449" Properties=species:S:1:pos:R:3 pbc="T T T"
Er 0.0000 0.0000 0.0000
Mg 2.1264 1.2277 4.8162
Mg 6.3792 3.6830 3.2287
Cu 4.2528 2.4554 1.9226
Cu 4.2528 2.4554 6.1224
Ge 6.3792 3.6830 6.2289
Ge 2.1264 1.2277 1.8160
```

Calculated values
- SG = R-3m (166)
- crystal system = trigonal
- E_tot (eV for the cell shown) = -27.83
- calculated formation energy (meV per atom) = -378